Computed, not measured: a relaxed structure of BaLa2Y at the GGA-PBE level of DFT.

Structure (POSCAR):
```
BaLa2Y
1.0
6.293 0.000 0.000
0.000 6.293 0.000
0.000 0.000 4.013
Ba La Y
1 2 1
direct
0.000 0.000 0.000
0.000 0.500 0.500
0.500 0.000 0.500
0.500 0.500 0.000
```

Computed properties:
Volume   39.73 A^3/atom
Formation enthalpy at 0 K   0.255 eV per atom
ΔE to the lowest computed polymorph   0.149 eV/atom

Computed, not measured: a relaxed structure of CaLa6Nd2 at the GGA-PBE level of DFT.

Structure (POSCAR):
```
CaLa6Nd2
1.0
14.543 -3.287 0.000
14.543 3.287 0.000
-0.908 0.000 7.042
Ca La Nd
2 12 4
direct
0.074 0.926 0.750
0.926 0.074 0.250
0.019 0.211 0.012
0.211 0.019 0.512
0.246 0.422 0.572
0.377 0.509 0.364
0.422 0.246 0.072
0.491 0.623 0.136
0.509 0.377 0.864
0.578 0.754 0.928
0.623 0.491 0.636
0.754 0.578 0.428
0.789 0.981 0.488
0.981 0.789 0.988
0.140 0.309 0.803
0.309 0.140 0.303
0.691 0.860 0.697
0.860 0.691 0.197
```

Computed properties:
Volume   37.40 A^3/atom
Formation enthalpy at 0 K   0.035 eV per atom
ΔE to the lowest computed polymorph   0.000 eV/atom

Computed, not measured: a relaxed structure of Rb3MoS4 at the GGA-PBE level of DFT.

Structure (POSCAR):
```
Rb3MoS4
1.0
12.848 0.000 0.000
0.000 6.623 0.000
0.000 0.000 6.526
Rb Mo S
6 2 8
direct
0.000 0.176 0.000
0.250 0.268 0.545
0.250 0.732 0.045
0.500 0.824 0.500
0.750 0.268 0.545
0.750 0.732 0.045
0.000 0.646 0.437
0.500 0.354 0.937
0.000 0.313 0.498
0.000 0.674 0.094
0.153 0.775 0.551
0.347 0.225 0.051
0.500 0.326 0.594
0.500 0.687 0.998
0.653 0.225 0.051
0.847 0.775 0.551
```

Computed properties:
Formation energy (no corrections)   -0.95 eV per atom
Volume   34.71 A^3/atom

What is the volume in the third record? 34.71 A^3/atom

Among the records above, which one has the lowest volume? Rb3MoS4

Repeat the second record exactly.
Computed, not measured: a relaxed structure of CaLa6Nd2 at the GGA-PBE level of DFT.

Structure (POSCAR):
```
CaLa6Nd2
1.0
14.543 -3.287 0.000
14.543 3.287 0.000
-0.908 0.000 7.042
Ca La Nd
2 12 4
direct
0.074 0.926 0.750
0.926 0.074 0.250
0.019 0.211 0.012
0.211 0.019 0.512
0.246 0.422 0.572
0.377 0.509 0.364
0.422 0.246 0.072
0.491 0.623 0.136
0.509 0.377 0.864
0.578 0.754 0.928
0.623 0.491 0.636
0.754 0.578 0.428
0.789 0.981 0.488
0.981 0.789 0.988
0.140 0.309 0.803
0.309 0.140 0.303
0.691 0.860 0.697
0.860 0.691 0.197
```

Computed properties:
Volume   37.40 A^3/atom
Formation enthalpy at 0 K   0.035 eV per atom
ΔE to the lowest computed polymorph   0.000 eV/atom